The following is a DFT calculation (PBE) of a relaxed Rb3PdRh crystal.

abc: 5.840 5.840 5.840
angles: 90.00 90.00 90.00
Space group Pm-3m (No. 221)
Asymmetric unit:
Rb  0.000  0.000  0.500 [3 per cell]
Pd  0.500  0.500  0.500 [1 per cell]
Rh  0.000  0.000  0.000 [1 per cell]

Output
formation enthalpy at 0 K = 0.7836 eV per atom
calculated total energy = -11.5 eV for the cell shown
magnetic moment = 0.0 μB per formula unit
density = 3.88 g cm⁻³